Cs2HoGaBr6 | PBE-GGA | optimized geometry

a b c (Å): 8.1722 8.2977 14.2433
angles (deg): 90.00 124.95 90.00
With the nearest neighbours (Å) after each atom.
Atoms (fractional coordinates):
Cs: 0.2393 0.0438 0.2501  8 Br 3.72-4.01
Cs: 0.2393 0.4562 0.7501  8 Br 3.72-4.01
Cs: 0.7607 0.5438 0.2499  8 Br 3.72-4.01
Cs: 0.7607 0.9562 0.7499  8 Br 3.72-4.01
Ho: 0.5000 0.0000 0.0000  6 Br 2.80
Ho: 0.5000 0.5000 0.5000  6 Br 2.80
Ga: 0.0000 0.0000 0.5000  6 Br 3.11-3.12
Ga: 0.0000 0.5000 0.0000  6 Br 3.11-3.12
Br: 0.1971 0.1996 0.9703  1 Ho 2.80, 1 Ga 3.12
Br: 0.1971 0.3004 0.4703  1 Ho 2.80, 1 Ga 3.12
Br: 0.2731 0.7273 0.9717  1 Ho 2.80, 1 Ga 3.12
Br: 0.2731 0.7727 0.4717  1 Ho 2.80, 1 Ga 3.12
Br: 0.3200 0.0064 0.7635  1 Ho 2.80, 1 Ga 3.11
Br: 0.3200 0.4936 0.2635  1 Ho 2.80, 1 Ga 3.11
Br: 0.6800 0.5064 0.7365  1 Ho 2.80, 1 Ga 3.11
Br: 0.6800 0.9936 0.2365  1 Ho 2.80, 1 Ga 3.11
Br: 0.7269 0.2273 0.5283  1 Ho 2.80, 1 Ga 3.12
Br: 0.7269 0.2727 0.0283  1 Ho 2.80, 1 Ga 3.12
Br: 0.8029 0.6996 0.5297  1 Ho 2.80, 1 Ga 3.12
Br: 0.8029 0.8004 0.0297  1 Ho 2.80, 1 Ga 3.12

Computed properties:
For the total DFT energy (no corrections), the calculation gives -3.560 eV/atom. The calculation puts the density of states at the Fermi level at 0.0 states/eV/f.u. As for the crystal system: monoclinic.